CaAcSnCl: optimized geometry, PBE-GGA.

Output
Symmetry ... No. 216
Energy relative to the elements, uncorrected ... -1100.2 meV/atom

a = 5.563 Å, b = 5.563 Å, c = 5.563 Å
α = 60.00°, β = 60.00°, γ = 60.00°
Fractional coordinates of all 4 atoms:
Ca 0.000 0.000 0.000
Ac 0.500 0.500 0.500
Sn 0.250 0.250 0.250
Cl 0.750 0.750 0.750

=====

NaOsSN2: optimized geometry, PBE-GGA.

Output
Symmetry ... No. 123
Energy above the lowest structure with this stoichiometry ... 2.6316 eV/atom
Energy relative to the elements, uncorrected ... 2891.5 meV/atom

a = 3.942 Å, b = 3.942 Å, c = 4.790 Å
α = 90.00°, β = 90.00°, γ = 90.00°
Fractional coordinates of all 5 atoms:
Na 0.000 0.000 0.000
Os 0.500 0.500 0.500
S 0.000 0.000 0.500
N 0.000 0.500 0.000
N 0.500 0.000 0.000

=====

Sc3CdC: optimized geometry, PBE-GGA.

Output
Symmetry ... No. 11
Energy above the lowest structure with this stoichiometry ... 0.2045 eV/atom
ΔE_f ... -25 kJ per mole of atoms

a = 5.372 Å, b = 6.517 Å, c = 5.639 Å
α = 90.00°, β = 92.75°, γ = 90.00°
Fractional coordinates of all 10 atoms:
Sc 0.227 0.001 0.342
Sc 0.227 0.499 0.342
Sc 0.255 0.250 0.839
Sc 0.745 0.750 0.161
Sc 0.773 0.501 0.658
Sc 0.773 0.999 0.658
Cd 0.264 0.750 0.836
Cd 0.736 0.250 0.164
C 0.019 0.250 0.525
C 0.981 0.750 0.475

=====

Mg3Si4: optimized geometry, PBE-GGA.

Output
Symmetry ... No. 1
Energy above the lowest structure with this stoichiometry ... 0.0684 eV/atom
Energy relative to the elements, uncorrected ... 120.5 meV/atom

a = 6.044 Å, b = 6.661 Å, c = 7.416 Å
α = 113.75°, β = 90.45°, γ = 104.15°
Fractional coordinates of all 14 atoms:
Mg 0.000 0.000 0.000
Mg 0.048 0.458 0.966
Mg 0.210 0.022 0.625
Mg 0.430 0.791 0.877
Mg 0.661 0.681 0.469
Mg 0.832 0.127 0.405
Si 0.019 0.604 0.652
Si 0.161 0.451 0.335
Si 0.351 0.805 0.252
Si 0.410 0.210 0.325
Si 0.464 0.287 0.027
Si 0.625 0.421 0.691
Si 0.688 0.687 0.108
Si 0.694 0.104 0.764

=====

TeBrCl: optimized geometry, PBE-GGA.

Output
Symmetry ... No. 44
Energy above the lowest structure with this stoichiometry ... 0.2611 eV/atom
Energy relative to the elements, uncorrected ... -108.1 meV/atom

a = 6.119 Å, b = 6.119 Å, c = 6.119 Å
α = 149.90°, β = 100.42°, γ = 87.37°
Fractional coordinates of all 3 atoms:
Te 0.000 0.000 0.000
Br 0.694 0.694 0.000
Cl 0.274 0.274 0.000

=====

Co2CuSi: optimized geometry, PBE-GGA.

Output
Symmetry ... No. 71
Energy relative to the elements, uncorrected ... -110.3 meV/atom

a = 4.653 Å, b = 4.653 Å, c = 4.653 Å
α = 144.97°, β = 127.86°, γ = 64.36°
Fractional coordinates of all 4 atoms:
Co 0.227 0.227 0.000
Co 0.773 0.773 0.000
Cu 0.500 0.000 0.500
Si 0.000 0.500 0.500

=====

Pa2BeCo4P3: optimized geometry, PBE-GGA.

Output
Symmetry ... No. 115
ΔE_f ... -89 kJ per mole of atoms

a = 3.842 Å, b = 3.842 Å, c = 9.253 Å
α = 90.00°, β = 90.00°, γ = 90.00°
Fractional coordinates of all 10 atoms:
Pa 0.000 0.500 0.245
Pa 0.500 0.000 0.755
Be 0.500 0.500 0.000
Co 0.000 0.000 0.500
Co 0.000 0.500 0.873
Co 0.500 0.000 0.127
Co 0.500 0.500 0.500
P 0.000 0.000 0.000
P 0.000 0.500 0.632
P 0.500 0.000 0.368

=====

Pa2MnSe4: optimized geometry, PBE-GGA.

Output
Symmetry ... No. 11
Energy relative to the elements, uncorrected ... -1008.6 meV/atom

a = 6.798 Å, b = 6.302 Å, c = 7.762 Å
α = 90.00°, β = 106.77°, γ = 90.00°
Fractional coordinates of all 14 atoms:
Pa 0.236 0.250 0.054
Pa 0.236 0.250 0.566
Pa 0.764 0.750 0.434
Pa 0.764 0.750 0.946
Mn 0.242 0.750 0.805
Mn 0.758 0.250 0.195
Se 0.026 0.512 0.257
Se 0.026 0.988 0.257
Se 0.433 0.750 0.113
Se 0.443 0.750 0.602
Se 0.557 0.250 0.398
Se 0.567 0.250 0.887
Se 0.974 0.012 0.743
Se 0.974 0.488 0.743

=====

La7Ho2Th2: optimized geometry, PBE-GGA.

Output
Symmetry ... No. 12
Energy above the lowest structure with this stoichiometry ... 0.0087 eV/atom
ΔE_f ... 11 kJ per mole of atoms

a = 7.061 Å, b = 7.061 Å, c = 8.389 Å
α = 99.26°, β = 99.26°, γ = 103.59°
Fractional coordinates of all 11 atoms:
La 0.000 0.000 0.000
La 0.099 0.505 0.831
La 0.200 0.200 0.473
La 0.495 0.901 0.169
La 0.505 0.099 0.831
La 0.800 0.800 0.527
La 0.901 0.495 0.169
Ho 0.291 0.709 0.500
Ho 0.709 0.291 0.500
Th 0.416 0.416 0.175
Th 0.584 0.584 0.825

=====

CuSn2S4: optimized geometry, PBE-GGA.

Output
Symmetry ... No. 74
Energy above the lowest structure with this stoichiometry ... 0.0000 eV/atom
Energy relative to the elements, uncorrected ... -338.8 meV/atom

a = 7.560 Å, b = 7.560 Å, c = 7.560 Å
α = 120.11°, β = 119.90°, γ = 89.99°
Fractional coordinates of all 14 atoms:
Cu 0.376 0.126 0.250
Cu 0.624 0.874 0.750
Sn 0.000 0.000 0.500
Sn 0.000 0.500 0.000
Sn 0.000 0.500 0.500
Sn 0.500 0.500 0.000
S 0.250 0.750 0.500
S 0.251 0.250 0.000
S 0.251 0.251 0.501
S 0.251 0.750 0.999
S 0.749 0.250 0.001
S 0.749 0.749 0.499
S 0.749 0.750 0.000
S 0.750 0.250 0.500

=====

CuOsPt: optimized geometry, PBE-GGA.

Output
Symmetry ... No. 216
Energy above the lowest structure with this stoichiometry ... 0.5384 eV/atom
ΔE_f ... 67 kJ per mole of atoms

a = 4.142 Å, b = 4.142 Å, c = 4.142 Å
α = 60.00°, β = 60.00°, γ = 60.00°
Fractional coordinates of all 3 atoms:
Cu 0.000 0.000 0.000
Os 0.500 0.500 0.500
Pt 0.750 0.750 0.750

=====

TcSeCl: optimized geometry, PBE-GGA.

Output
Symmetry ... No. 156
Energy above the lowest structure with this stoichiometry ... 0.1065 eV/atom
Energy relative to the elements, uncorrected ... -323.7 meV/atom

a = 3.243 Å, b = 3.243 Å, c = 7.272 Å
α = 90.00°, β = 90.00°, γ = 120.00°
Fractional coordinates of all 3 atoms:
Tc 0.000 0.000 0.000
Se 0.333 0.667 0.780
Cl 0.667 0.333 0.247

=====

Li3Bi4Pd2Rh2: optimized geometry, PBE-GGA.

Output
Symmetry ... No. 164
ΔE_f ... -31 kJ per mole of atoms

a = 4.466 Å, b = 4.466 Å, c = 13.285 Å
α = 90.00°, β = 90.00°, γ = 120.00°
Fractional coordinates of all 11 atoms:
Li 0.000 0.000 0.000
Li 0.000 0.000 0.268
Li 0.000 0.000 0.732
Bi 0.333 0.667 0.411
Bi 0.333 0.667 0.874
Bi 0.667 0.333 0.126
Bi 0.667 0.333 0.589
Pd 0.333 0.667 0.202
Pd 0.667 0.333 0.798
Rh 0.333 0.667 0.667
Rh 0.667 0.333 0.333

=====

Cs4K5O: optimized geometry, PBE-GGA.

Output
Symmetry ... No. 139
Energy relative to the elements, uncorrected ... -263.6 meV/atom

a = 12.408 Å, b = 12.408 Å, c = 12.408 Å
α = 93.07°, β = 93.07°, γ = 153.22°
Fractional coordinates of all 10 atoms:
Cs 0.000 0.322 0.322
Cs 0.000 0.678 0.678
Cs 0.322 0.000 0.322
Cs 0.678 0.000 0.678
K 0.000 0.000 0.000
K 0.391 0.391 0.782
K 0.391 0.609 0.000
K 0.609 0.391 0.000
K 0.609 0.609 0.218
O 0.500 0.500 0.000

=====

K2CdPbBr6: optimized geometry, PBE-GGA.

Output
Symmetry ... No. 99
Energy relative to the elements, uncorrected ... -1184.5 meV/atom

a = 7.924 Å, b = 7.924 Å, c = 6.351 Å
α = 90.00°, β = 90.00°, γ = 90.00°
Fractional coordinates of all 10 atoms:
K 0.000 0.500 0.000
K 0.500 0.000 0.000
Cd 0.000 0.000 0.571
Pb 0.500 0.500 0.592
Br 0.000 0.000 0.162
Br 0.238 0.238 0.694
Br 0.238 0.762 0.694
Br 0.500 0.500 0.140
Br 0.762 0.238 0.694
Br 0.762 0.762 0.694

=====

ZnFe2Pb: optimized geometry, PBE-GGA.

Output
Symmetry ... No. 225
ΔE_f ... 58 kJ per mole of atoms

a = 4.333 Å, b = 4.333 Å, c = 4.333 Å
α = 60.00°, β = 60.00°, γ = 60.00°
Fractional coordinates of all 4 atoms:
Zn 0.000 0.000 0.000
Fe 0.250 0.250 0.250
Fe 0.750 0.750 0.750
Pb 0.500 0.500 0.500

=====

TePt2O: optimized geometry, PBE-GGA.

Output
Symmetry ... No. 122
Energy above the lowest structure with this stoichiometry ... 0.0000 eV/atom
Energy relative to the elements, uncorrected ... 141.3 meV/atom

a = 5.738 Å, b = 5.738 Å, c = 5.738 Å
α = 113.87°, β = 113.87°, γ = 100.98°
Fractional coordinates of all 8 atoms:
Te 0.000 0.000 0.000
Te 0.750 0.250 0.500
Pt 0.176 0.625 0.051
Pt 0.375 0.426 0.551
Pt 0.574 0.125 0.949
Pt 0.875 0.824 0.449
O 0.250 0.750 0.500
O 0.500 0.500 0.000

=====

TbIr6: optimized geometry, PBE-GGA.

Output
Symmetry ... No. 229
ΔE_f ... 41 kJ per mole of atoms

a = 5.898 Å, b = 5.898 Å, c = 5.898 Å
α = 109.47°, β = 109.47°, γ = 109.47°
Fractional coordinates of all 7 atoms:
Tb 0.000 0.000 0.000
Ir 0.250 0.500 0.750
Ir 0.250 0.750 0.500
Ir 0.500 0.250 0.750
Ir 0.500 0.750 0.250
Ir 0.750 0.250 0.500
Ir 0.750 0.500 0.250

=====

Zn2RePt: optimized geometry, PBE-GGA.

Output
Symmetry ... No. 8
Energy above the lowest structure with this stoichiometry ... 0.0941 eV/atom
ΔE_f ... 2 kJ per mole of atoms

a = 4.769 Å, b = 4.769 Å, c = 4.827 Å
α = 98.86°, β = 98.86°, γ = 32.97°
Fractional coordinates of all 4 atoms:
Zn 0.000 0.000 0.000
Zn 0.244 0.244 0.766
Re 0.748 0.748 0.263
Pt 0.493 0.493 0.498

=====

Sr2LiCl5: optimized geometry, PBE-GGA.

Output
Symmetry ... No. 14
Energy above the lowest structure with this stoichiometry ... 0.0000 eV/atom
Energy relative to the elements, uncorrected ... -2284.1 meV/atom

a = 11.981 Å, b = 9.098 Å, c = 8.706 Å
α = 90.00°, β = 95.09°, γ = 90.00°
Fractional coordinates of all 32 atoms:
Sr 0.031 0.120 0.252
Sr 0.031 0.380 0.752
Sr 0.363 0.156 0.965
Sr 0.363 0.344 0.465
Sr 0.637 0.656 0.535
Sr 0.637 0.844 0.035
Sr 0.969 0.620 0.248
Sr 0.969 0.880 0.748
Li 0.305 0.606 0.966
Li 0.305 0.894 0.466
Li 0.695 0.106 0.534
Li 0.695 0.394 0.034
Cl 0.091 0.650 0.951
Cl 0.091 0.850 0.451
Cl 0.108 0.105 0.910
Cl 0.108 0.395 0.410
Cl 0.272 0.085 0.267
Cl 0.272 0.415 0.767
Cl 0.375 0.071 0.647
Cl 0.375 0.429 0.147
Cl 0.396 0.665 0.493
Cl 0.396 0.835 0.993
Cl 0.604 0.165 0.007
Cl 0.604 0.335 0.507
Cl 0.625 0.571 0.853
Cl 0.625 0.929 0.353
Cl 0.728 0.585 0.233
Cl 0.728 0.915 0.733
Cl 0.892 0.605 0.590
Cl 0.892 0.895 0.090
Cl 0.909 0.150 0.549
Cl 0.909 0.350 0.049

=====

no.,DOS(E_F) (states/eV/f.u.)
1,0.0
2,5.2
3,3.4
4,2.1
5,1.7
6,3.8
7,6.0
8,9.0
9,19.2
10,2.4
11,4.0
12,1.7
13,4.9
14,7.7
15,0.0
16,12.1
17,3.4
18,6.9
19,2.5
20,0.0